The following is a DFT calculation (PBE-GGA) of a relaxed ThMg2Pb crystal.

Computed properties:
The calculation puts the density at 7.04 g/cm3. The calculation puts the energy at -3.3527 eV per atom.

Cell lengths 3.3856, 3.3856, 34.7557 Å; angles 90.00, 90.00, 120.00 degrees
Space group R-3m (No. 166, hexagonal axes)
Unique sites:
Th  0.0000  0.0000  0.0000 (multiplicity 3)
Mg  0.0000  0.0000  0.0934 (multiplicity 6)
Pb  0.0000  0.0000  0.5000 (multiplicity 3)

=====

The following is a DFT calculation (PBE-GGA) of a relaxed SrGa2Ir2 crystal.

Computed properties:
The calculation puts the density at 10.23 g/cm3. The calculation puts the energy at -5.6068 eV per atom.

Cell lengths 4.342, 4.342, 10.534 Å; angles 90.00, 90.00, 90.00 degrees
Space group I4/mmm (No. 139)
Unique sites:
Sr  0.000  0.000  0.000 (multiplicity 2)
Ga  0.000  0.500  0.250 (multiplicity 4)
Ir  0.000  0.000  0.382 (multiplicity 4)

=====

The following is a DFT calculation (PBE-GGA) of a relaxed AgSnIrO6 crystal.

Computed properties:
The calculation puts the density at 7.31 g/cm3. The value obtained for the raw formation energy is -0.73 eV per atom.

Cell lengths 5.3845, 5.3845, 9.3106 Å; angles 90.00, 90.00, 120.00 degrees
Space group P-31c (No. 163)
Unique sites:
Ag  0.0000  0.0000  0.0000 (multiplicity 2)
Sn  0.3333  0.6667  0.2500 (multiplicity 2)
Ir  0.3333  0.6667  0.7500 (multiplicity 2)
O  0.0224  0.3817  0.6332 (multiplicity 12)

=====

The following is a DFT calculation (PBE-GGA) of a relaxed SrZr2Sb crystal.

Computed properties:
The calculation puts the density at 5.96 g/cm3. The value obtained for the raw formation energy is -0.05 eV per atom.

Cell lengths 11.725, 3.375, 5.716 Å; angles 90.00, 105.13, 90.00 degrees
Space group C2/m (No. 12)
Unique sites:
Sr  0.000  0.000  0.000 (multiplicity 2)
Zr  0.220  0.000  0.704 (multiplicity 4)
Sb  0.000  0.500  0.500 (multiplicity 2)

=====

The following is a DFT calculation (PBE-GGA) of a relaxed Ca2La15Tb2 crystal.

Computed properties:
The calculation puts the density at 5.69 g/cm3. The calculation puts the energy at -4.3973 eV per atom.

Cell lengths 11.8047, 11.8047, 17.9894 Å; angles 90.00, 90.00, 120.00 degrees
Space group R-3m (No. 166, hexagonal axes)
Unique sites:
Ca  0.0000  0.0000  0.1699 (multiplicity 6)
La  0.0000  0.2933  0.5000 (multiplicity 18)
La  0.0000  0.5000  0.0000 (multiplicity 9)
La  0.0072  0.5036  0.6413 (multiplicity 18)
Tb  0.0000  0.0000  0.4048 (multiplicity 6)

=====

The following is a DFT calculation (PBE-GGA) of a relaxed PrTe2Rh crystal.

Computed properties:
The calculation puts the density at 6.69 g/cm3. The value obtained for the raw formation energy is -0.33 eV per atom.

Cell lengths 3.9558, 3.9558, 27.4197 Å; angles 90.00, 90.00, 120.00 degrees
Space group R-3m (No. 166, hexagonal axes)
Unique sites:
Pr  0.0000  0.0000  0.0000 (multiplicity 3)
Te  0.0000  0.0000  0.1157 (multiplicity 6)
Rh  0.0000  0.0000  0.5000 (multiplicity 3)

=====

The following is a DFT calculation (PBE-GGA) of a relaxed BaCd2InIr crystal.

Computed properties:
The calculation puts the density at 7.62 g/cm3. The calculation puts the energy at -3.3214 eV per atom.

Cell lengths 5.316, 5.316, 5.161 Å; angles 90.00, 90.00, 90.00 degrees
Space group P4/mmm (No. 123)
Unique sites:
Ba  0.000  0.000  0.000 (multiplicity 1)
Cd  0.000  0.500  0.500 (multiplicity 2)
In  0.500  0.500  0.000 (multiplicity 1)
Ir  0.500  0.500  0.500 (multiplicity 1)

=====

The following is a DFT calculation (PBE-GGA) of a relaxed MgGaBiPb crystal.

Computed properties:
The calculation puts the density at 8.04 g/cm3. The calculation puts the energy at -3.0120 eV per atom.

Cell lengths 7.498, 7.498, 7.498 Å; angles 90.00, 90.00, 90.00 degrees
Space group F-43m (No. 216)
Unique sites:
Mg  0.000  0.000  0.000 (multiplicity 4)
Ga  0.000  0.000  0.500 (multiplicity 4)
Bi  0.250  0.250  0.750 (multiplicity 4)
Pb  0.250  0.250  0.250 (multiplicity 4)